[1]
First-principles (PBE-GGA) data for a relaxed structure of Co4IrPd, as listed in the Alexandria database.

Summary:
SG: F-43m, No. 216
Total magnetization in μB/atom: 1.39
E in Ry/atom: -0.514
Energy of formation from the pure elements in eV per atom: 0.09

Unit cell a=4.724 b=4.724 c=4.724 alpha=60.00 beta=60.00 gamma=60.00
Fractional positions:
Co  0.125  0.625  0.625
Co  0.625  0.125  0.625
Pd  0.000  0.000  0.000
Co  0.625  0.625  0.625
Ir  0.250  0.250  0.250
Co  0.625  0.625  0.125


[2]
First-principles (PBE-GGA) data for a relaxed structure of NaTl4Pd, as listed in the Alexandria database.

Summary:
SG: C2/m, No. 12
Total magnetization in μB/atom: 0.00
E in Ry/atom: -0.198
Energy of formation from the pure elements in eV per atom: -0.03

Unit cell a=4.745 b=4.756 c=9.339 alpha=75.28 beta=75.28 gamma=60.08
Fractional positions:
Tl  0.631  0.630  0.109
Tl  0.107  0.106  0.680
Na  0.500  0.500  0.500
Tl  0.369  0.370  0.891
Pd  0.000  0.000  0.000
Tl  0.893  0.894  0.320


[3]
First-principles (PBE-GGA) data for a relaxed structure of NbCd2Re, as listed in the Alexandria database.

Summary:
SG: Fm-3m, No. 225
Total magnetization in μB/atom: 0.00
E in Ry/atom: -0.392
Energy of formation from the pure elements in eV per atom: 0.75

Unit cell a=4.670 b=4.670 c=4.670 alpha=60.00 beta=60.00 gamma=60.00
Fractional positions:
Cd  0.250  0.250  0.250
Re  0.500  0.500  0.500
Cd  0.750  0.750  0.750
Nb  0.000  0.000  0.000


[4]
First-principles (PBE-GGA) data for a relaxed structure of Nd6TlGa, as listed in the Alexandria database.

Summary:
SG: P4/mmm, No. 123
Total magnetization in μB/atom: 0.00
E in Ry/atom: -0.328
Energy of formation from the pure elements in eV per atom: -0.22

Unit cell a=4.932 b=4.932 c=9.848 alpha=90.00 beta=90.00 gamma=90.00
Fractional positions:
Nd  0.500  0.000  0.741
Nd  0.500  0.500  0.500
Ga  0.000  0.000  0.500
Nd  0.500  0.000  0.259
Nd  0.000  0.500  0.259
Tl  0.000  0.000  0.000
Nd  0.000  0.500  0.741
Nd  0.500  0.500  0.000


[5]
First-principles (PBE-GGA) data for a relaxed structure of Pr5Dy3Ho3, as listed in the Alexandria database.

Summary:
SG: P-62m, No. 189
Total magnetization in μB/atom: 0.00
E in Ry/atom: -0.321
Energy of formation from the pure elements in eV per atom: 0.31

Unit cell a=3.467 b=11.329 c=11.329 alpha=120.00 beta=90.00 gamma=90.00
Fractional positions:
Pr  0.500  0.338  0.000
Ho  0.500  0.159  0.159
Pr  0.500  0.662  0.662
Pr  0.500  0.000  0.338
Pr  0.500  0.667  0.333
Ho  0.500  0.000  0.841
Pr  0.500  0.333  0.667
Dy  0.000  0.000  0.596
Ho  0.500  0.841  0.000
Dy  0.000  0.596  0.000
Dy  0.000  0.404  0.404


[6]
First-principles (PBE-GGA) data for a relaxed structure of Al4InRu, as listed in the Alexandria database.

Summary:
SG: F-43m, No. 216
Total magnetization in μB/atom: 0.00
E in Ry/atom: -0.321
Energy of formation from the pure elements in eV per atom: 0.13

Unit cell a=5.194 b=5.194 c=5.194 alpha=60.00 beta=60.00 gamma=60.00
Fractional positions:
Al  0.374  0.878  0.374
In  0.750  0.750  0.750
Al  0.374  0.374  0.374
Ru  0.000  0.000  0.000
Al  0.878  0.374  0.374
Al  0.374  0.374  0.878